[1]
# V2HgSeO8 (PBE with a Hubbard U, optimized geometry)
# Electronic total energy ... -6.0773 eV/atom
# Size of the total moment ... 0.0 Bohr magnetons per cell
data_V2HgSeO8
_cell_length_a 8.8069
_cell_length_b 5.6910
_cell_length_c 7.6008
_cell_angle_alpha 90.00
_cell_angle_beta 96.79
_cell_angle_gamma 90.00
_space_group_name_H-M_alt 'C 1 2/m 1'
_space_group_IT_number 12
loop_
_space_group_symop_operation_xyz
'x,y,z'
'-x,-y,-z'
'-x,y,-z'
'x,-y,z'
'x+1/2,y+1/2,z'
'-x+1/2,-y+1/2,-z'
'-x+1/2,y+1/2,-z'
'x+1/2,-y+1/2,z'
loop_
_atom_site_label
_atom_site_fract_x
_atom_site_fract_y
_atom_site_fract_z
_atom_site_occupancy
V1 0.1626 0.0000 0.2099 1
Hg1 0.0000 0.5000 0.5000 1
Se1 0.0000 0.5000 0.0000 1
O1 0.0456 0.2552 0.1929 1
O2 0.2207 0.5000 0.9563 1
O3 0.2320 0.5000 0.5838 1

[2]
# HgW2SeO (PBE with a Hubbard U, optimized geometry)
# Electronic total energy ... -3.6021 eV/atom
# Size of the total moment ... 6.0 Bohr magnetons per cell
data_HgW2SeO
_cell_length_a 5.0859
_cell_length_b 5.0859
_cell_length_c 3.8519
_cell_angle_alpha 90.00
_cell_angle_beta 90.00
_cell_angle_gamma 90.00
_space_group_name_H-M_alt 'P 4/m m m'
_space_group_IT_number 123
_space_group_name_Hall '-P 4 2'
loop_
_atom_site_label
_atom_site_fract_x
_atom_site_fract_y
_atom_site_fract_z
_atom_site_occupancy
Hg1 0.0000 0.0000 0.0000 1
W1 0.0000 0.5000 0.5000 1
Se1 0.5000 0.5000 0.5000 1
O1 0.5000 0.5000 0.0000 1

Repeat the first record exactly.
# V2HgSeO8 (PBE with a Hubbard U, optimized geometry)
# Electronic total energy ... -6.0773 eV/atom
# Size of the total moment ... 0.0 Bohr magnetons per cell
data_V2HgSeO8
_cell_length_a 8.8069
_cell_length_b 5.6910
_cell_length_c 7.6008
_cell_angle_alpha 90.00
_cell_angle_beta 96.79
_cell_angle_gamma 90.00
_space_group_name_H-M_alt 'C 1 2/m 1'
_space_group_IT_number 12
loop_
_space_group_symop_operation_xyz
'x,y,z'
'-x,-y,-z'
'-x,y,-z'
'x,-y,z'
'x+1/2,y+1/2,z'
'-x+1/2,-y+1/2,-z'
'-x+1/2,y+1/2,-z'
'x+1/2,-y+1/2,z'
loop_
_atom_site_label
_atom_site_fract_x
_atom_site_fract_y
_atom_site_fract_z
_atom_site_occupancy
V1 0.1626 0.0000 0.2099 1
Hg1 0.0000 0.5000 0.5000 1
Se1 0.0000 0.5000 0.0000 1
O1 0.0456 0.2552 0.1929 1
O2 0.2207 0.5000 0.9563 1
O3 0.2320 0.5000 0.5838 1